1.
PrBi2As2Pd7 | GGA-PBE | relaxed

Results
Its total energy is -5.25 eV per atom.

abc: 4.704 4.704 11.654
angles: 86.47 86.47 98.44
Element x y z (fractional)
Pd (0.374, 0.374, 0.401)
Pd (0.626, 0.626, 0.599)
Pd (0.565, 0.172, 0.790)
Pd (0.172, 0.565, 0.790)
Pd (0.500, 0.500, 0.000)
Pd (0.435, 0.828, 0.210)
Pd (0.828, 0.435, 0.210)
As (0.696, 0.696, 0.807)
As (0.304, 0.304, 0.193)
Pr (0.000, 0.000, 0.000)
Bi (0.152, 0.152, 0.619)
Bi (0.848, 0.848, 0.381)


2.
Ac3Pm2Pr7 | GGA-PBE | relaxed

Results
Its total energy is -4.40 eV per atom.

abc: 3.833 5.944 21.118
angles: 90.00 95.22 90.00
Element x y z (fractional)
Ac (0.822, 0.000, 0.645)
Ac (0.500, 0.500, 0.000)
Ac (0.178, 0.000, 0.355)
Pr (0.282, 0.500, 0.565)
Pr (0.000, 0.000, 0.000)
Pr (0.412, 0.000, 0.825)
Pr (0.718, 0.500, 0.435)
Pr (0.588, 0.000, 0.175)
Pr (0.929, 0.500, 0.858)
Pr (0.071, 0.500, 0.142)
Pm (0.359, 0.500, 0.720)
Pm (0.641, 0.500, 0.280)


3.
SrThTl | GGA-PBE | relaxed

Results
Its total energy is -3.90 eV per atom.

abc: 3.946 3.946 14.570
angles: 97.78 97.78 90.00
Element x y z (fractional)
Th (0.711, 0.711, 0.421)
Th (0.289, 0.289, 0.579)
Sr (0.430, 0.430, 0.859)
Sr (0.570, 0.570, 0.141)
Tl (0.144, 0.144, 0.288)
Tl (0.856, 0.856, 0.712)


4.
RbIrPb2 | GGA-PBE | relaxed

Results
Its total energy is -3.82 eV per atom.

abc: 5.219 5.219 5.219
angles: 60.00 60.00 60.00
Element x y z (fractional)
Pb (0.250, 0.250, 0.250)
Pb (0.750, 0.750, 0.750)
Ir (0.500, 0.500, 0.500)
Rb (0.000, 0.000, 0.000)


5.
CoTePb2 | GGA-PBE | relaxed

Results
As for the formation energy (no corrections): 0.492 eV per atom.

abc: 5.195 5.195 3.932
angles: 90.00 90.00 90.00
Site moments in Bohr magnetons follow the coordinates.
Element x y z (fractional)
Pb (0.500, 0.500, 0.000)  -0.02
Pb (0.000, 0.000, 0.000)  -0.02
Te (0.500, 0.000, 0.500)  0.03
Co (0.000, 0.500, 0.500)  1.75


6.
ZrBeOs | GGA-PBE | relaxed

Results
Its total energy is -7.92 eV per atom.

abc: 3.089 3.912 7.630
angles: 75.15 90.00 90.00
Element x y z (fractional)
Zr (0.250, 0.098, 0.803)
Zr (0.750, 0.902, 0.197)
Os (0.250, 0.289, 0.421)
Os (0.750, 0.711, 0.579)
Be (0.750, 0.549, 0.901)
Be (0.250, 0.451, 0.099)


7.
Cr2TePt | GGA-PBE | relaxed

Results
As for the formation energy (no corrections): 0.228 eV per atom.

abc: 4.043 4.043 3.842
angles: 90.00 90.00 90.00
Site moments in Bohr magnetons follow the coordinates.
Element x y z (fractional)
Cr (0.000, 0.000, 0.000)  2.07
Cr (0.500, 0.500, 0.000)  2.07
Pt (0.500, 0.000, 0.500)  -0.04
Te (0.000, 0.500, 0.500)  -0.09


8.
Ba4Hg6F19 | GGA-PBE | relaxed

Results
As for the formation energy (no corrections): -2.373 eV per atom.

abc: 8.724 8.724 8.724
angles: 109.47 109.47 109.47
Element x y z (fractional)
Hg (0.664, 0.500, 0.164)
Hg (0.500, 0.836, 0.336)
Hg (0.336, 0.500, 0.836)
Hg (0.836, 0.336, 0.500)
Hg (0.164, 0.664, 0.500)
Hg (0.500, 0.164, 0.664)
F (0.762, 0.355, 0.981)
F (0.219, 0.593, 0.238)
F (0.680, 0.680, 0.000)
F (0.355, 0.981, 0.762)
F (0.626, 0.645, 0.407)
F (0.680, 0.000, 0.680)
F (0.000, 0.680, 0.680)
F (0.781, 0.019, 0.374)
F (0.645, 0.407, 0.626)
F (0.019, 0.374, 0.781)
F (0.000, 0.000, 0.000)
F (0.374, 0.781, 0.019)
F (0.238, 0.219, 0.593)
F (0.593, 0.238, 0.219)
F (0.000, 0.320, 0.320)
F (0.320, 0.000, 0.320)
F (0.407, 0.626, 0.645)
F (0.981, 0.762, 0.355)
F (0.320, 0.320, 0.000)
Ba (0.684, 0.000, 0.000)
Ba (0.316, 0.316, 0.316)
Ba (0.000, 0.000, 0.684)
Ba (0.000, 0.684, 0.000)


9.
Re3Tc2 | GGA-PBE | relaxed

Results
Its total energy is -11.52 eV per atom.

abc: 8.052 7.013 5.260
angles: 80.63 59.24 40.13
Element x y z (fractional)
Re (0.435, 0.367, 0.453)
Re (0.312, 0.188, 0.188)
Re (0.745, 0.453, 0.367)
Re (0.797, 0.505, 0.815)
Re (0.062, 0.938, 0.938)
Re (0.883, 0.815, 0.505)
Tc (0.359, 0.040, 0.703)
Tc (0.210, 0.891, 0.351)
Tc (0.899, 0.703, 0.040)
Tc (0.547, 0.351, 0.891)


10.
SrScGaB2 | GGA-PBE | relaxed

Results
Its total energy is -3.45 eV per atom.

abc: 4.566 5.795 4.566
angles: 90.00 90.00 90.00
Site moments in Bohr magnetons follow the coordinates.
Element x y z (fractional)
B (0.500, 0.000, 0.000)  0.06
B (0.000, 0.000, 0.500)  0.06
Sr (0.000, 0.500, 0.000)  0.00
Ga (0.500, 0.500, 0.500)  -0.01
Sc (0.000, 0.000, 0.000)  0.09


11.
SrLi4Pb2 | GGA-PBE | relaxed

Results
Its total energy is -2.71 eV per atom.

abc: 4.841 8.418 8.418
angles: 90.00 90.00 90.00
Element x y z (fractional)
Li (0.500, 0.604, 0.145)
Li (0.000, 0.896, 0.645)
Li (0.500, 0.855, 0.396)
Li (0.000, 0.104, 0.355)
Li (0.000, 0.645, 0.896)
Li (0.500, 0.145, 0.604)
Li (0.500, 0.396, 0.855)
Li (0.000, 0.355, 0.104)
Pb (0.500, 0.286, 0.286)
Pb (0.000, 0.214, 0.786)
Pb (0.000, 0.786, 0.214)
Pb (0.500, 0.714, 0.714)
Sr (0.500, 0.000, 0.000)
Sr (0.000, 0.500, 0.500)


12.
Na2PuPt9 | GGA-PBE | relaxed

Results
Its total energy is -6.36 eV per atom.

abc: 5.360 5.360 9.382
angles: 73.40 73.40 60.00
Site moments in Bohr magnetons follow the coordinates.
Element x y z (fractional)
Pt (0.585, 0.585, 0.747)  -0.05
Pt (0.585, 0.082, 0.747)  -0.05
Pt (0.667, 0.667, 0.998)  -0.13
Pt (0.082, 0.585, 0.747)  -0.05
Pt (0.333, 0.333, 0.002)  -0.13
Pt (0.415, 0.918, 0.253)  -0.05
Pt (0.500, 0.500, 0.500)  0.01
Pt (0.918, 0.415, 0.253)  -0.05
Pt (0.415, 0.415, 0.253)  -0.05
Na (0.855, 0.855, 0.435)  0.00
Na (0.145, 0.145, 0.565)  0.00
Pu (0.000, 0.000, 0.000)  5.04


13.
SmInGaHg | GGA-PBE | relaxed

Results
Its total energy is -3.00 eV per atom.

abc: 5.157 5.157 5.157
angles: 60.00 60.00 60.00
Element x y z (fractional)
Ga (0.250, 0.250, 0.250)
Sm (0.000, 0.000, 0.000)
In (0.500, 0.500, 0.500)
Hg (0.750, 0.750, 0.750)


14.
Ca3MgCu2 | GGA-PBE | relaxed

Results
Its total energy is -2.58 eV per atom.

abc: 8.920 8.920 4.582
angles: 90.00 90.00 91.30
Element x y z (fractional)
Ca (0.392, 0.153, 0.750)
Ca (0.847, 0.608, 0.750)
Ca (0.811, 0.189, 0.750)
Ca (0.608, 0.847, 0.250)
Ca (0.189, 0.811, 0.250)
Ca (0.153, 0.392, 0.250)
Mg (0.586, 0.414, 0.250)
Mg (0.414, 0.586, 0.750)
Cu (0.099, 0.099, 0.500)
Cu (0.901, 0.901, 0.000)
Cu (0.901, 0.901, 0.500)
Cu (0.099, 0.099, 0.000)


15.
ZnReSe2Br | GGA-PBE | relaxed

Results
As for the formation energy (no corrections): 1.161 eV per atom.

abc: 4.994 4.994 4.905
angles: 90.00 90.00 90.00
Site moments in Bohr magnetons follow the coordinates.
Element x y z (fractional)
Zn (0.000, 0.000, 0.000)  0.00
Br (0.000, 0.000, 0.500)  0.07
Se (0.000, 0.500, 0.000)  -0.18
Se (0.500, 0.000, 0.000)  -0.18
Re (0.500, 0.500, 0.500)  3.87


16.
LaTl2Pb | GGA-PBE | relaxed

Results
Its total energy is -3.74 eV per atom.

abc: 4.817 4.817 5.105
angles: 90.00 90.00 90.00
Element x y z (fractional)
Tl (0.500, 0.500, 0.000)
Tl (0.000, 0.000, 0.000)
Pb (0.000, 0.500, 0.500)
La (0.500, 0.000, 0.500)


17.
Th2SbTe2 | GGA-PBE | relaxed

Results
As for the formation energy (no corrections): -0.967 eV per atom.

abc: 4.424 6.307 7.736
angles: 114.06 106.62 90.00
Element x y z (fractional)
Th (0.337, 0.837, 0.674)
Th (0.663, 0.163, 0.326)
Sb (0.000, 0.000, 0.000)
Te (0.338, 0.338, 0.677)
Te (0.662, 0.662, 0.323)


18.
BeReAs2 | GGA-PBE | relaxed

Results
Its total energy is -6.26 eV per atom.

abc: 3.316 3.064 6.881
angles: 77.03 90.00 90.00
Element x y z (fractional)
As (0.000, 0.107, 0.908)
As (0.500, 0.388, 0.352)
Re (0.500, 0.722, 0.680)
Be (0.000, 0.283, 0.560)


19.
SrPbN2O | GGA-PBE | relaxed

Results
As for the formation energy (no corrections): 0.944 eV per atom.

abc: 4.890 4.890 4.701
angles: 90.00 90.00 90.00
Site moments in Bohr magnetons follow the coordinates.
Element x y z (fractional)
N (0.500, 0.000, 0.000)  1.22
N (0.000, 0.500, 0.000)  1.22
O (0.000, 0.000, 0.500)  0.53
Pb (0.500, 0.500, 0.500)  -0.12
Sr (0.000, 0.000, 0.000)  0.05


20.
CsLaMg2Ru | GGA-PBE | relaxed

Results
Its total energy is -3.61 eV per atom.

abc: 5.526 5.526 5.178
angles: 90.00 90.00 90.00
Element x y z (fractional)
Mg (0.000, 0.500, 0.000)
Mg (0.500, 0.000, 0.000)
Cs (0.500, 0.500, 0.500)
La (0.000, 0.000, 0.500)
Ru (0.000, 0.000, 0.000)